The following is a DFT calculation (PBE) of crystalline Sm2TlIr at its relaxed geometry.

Unit cell a=5.202 b=5.202 c=5.202 alpha=60.00 beta=60.00 gamma=60.00
Sites, in units of the cell vectors:
Sm 0.250 0.250 0.250
Sm 0.750 0.750 0.750
Tl 0.000 0.000 0.000
Ir 0.500 0.500 0.500

## Properties
DFT formation energy   -39 kJ/mol of atoms
Relative energy among the computed polymorphs   0.130 eV per atom
D(E_F)   0.861 states/eV per atom